(1)
# La2ScMnAu

A relaxed La2ScMnAu crystal (PBE, Alexandria).

The space group is P4/mmm (No. 123) and the conventional cell measures 5.149, 5.149 and 4.930 Å, with angles of 90.00, 90.00 and 90.00 degrees. The asymmetric unit holds La at (0.000, 0.500, 0.000), Sc at (0.000, 0.000, 0.500), Mn at (0.000, 0.000, 0.000) and Au at (0.500, 0.500, 0.500).

The value obtained for the formation energy is -0.0318 eV/atom. As for the volume: 130.7 Å³ per cell. Its total moment is 0.00 μB per atom.


(2)
# LaMnAu2Se

A relaxed LaMnAu2Se crystal (PBE, Alexandria).

The space group is P4/mmm (No. 123) and the conventional cell measures 4.806, 4.806 and 5.833 Å, with angles of 90.00, 90.00 and 90.00 degrees. The asymmetric unit holds La at (0.000, 0.000, 0.000), Mn at (0.000, 0.000, 0.500), Au at (0.000, 0.500, 0.500) and Se at (0.500, 0.500, 0.000).

As for the volume: 134.7 Å³ per cell. As for the energy relative to the elements, uncorrected: 0.49 kcal/mol of atoms. Its total moment is 0.81 μB per atom.